# 1
{
  "formula": "HoGaSnHg",
  "functional": "PBE",
  "state": "relaxed",
  "lattice_angstrom": [[0.0000, 3.6393, 3.6393], [3.6393, 0.0000, 3.6393], [3.6393, 3.6393, 0.0000]],
  "species": ["Ho", "Ga", "Sn", "Hg"],
  "frac_coords": [[0.0000, 0.0000, 0.0000], [0.2500, 0.2500, 0.2500], [0.5000, 0.5000, 0.5000], [0.7500, 0.7500, 0.7500]],
  "e_form_ev_per_atom": -0.232,
  "total_magnetization_mub_per_cell": 0.00,
  "vol_a3_per_cell": 96,
  "sg": "F-43m (216)"
}

***

# 2
{
  "formula": "KSe2Cl",
  "functional": "PBE",
  "state": "relaxed",
  "lattice_angstrom": [[3.6763, 0.0000, 0.0000], [0.0000, 5.1791, 0.0000], [0.0000, 0.0000, 6.5136]],
  "species": ["K", "Se", "Se", "Cl"],
  "frac_coords": [[0.0000, 0.0000, 0.0000], [0.5000, 0.2144, 0.5000], [0.5000, 0.7856, 0.5000], [0.5000, 0.5000, 0.0000]],
  "raw_formation_energy_ev_per_atom": -0.63,
  "total_magnetization_mub_per_cell": 0.31,
  "vol_a3_per_cell": 124,
  "sg": "Pmmm (47)"
}

***

# 3
{
  "formula": "SrLiTc2",
  "functional": "PBE",
  "state": "relaxed",
  "lattice_angstrom": [[-1.8959, 1.8959, 5.1006], [1.8959, -1.8959, 5.1006], [1.8959, 1.8959, -5.1006]],
  "species": ["Sr", "Li", "Tc", "Tc"],
  "frac_coords": [[0.0000, 0.0000, 0.0000], [0.5000, 0.5000, 0.0000], [0.2500, 0.7500, 0.5000], [0.7500, 0.2500, 0.5000]],
  "e_form_ev_per_atom": 0.721,
  "total_magnetization_mub_per_cell": 0.00,
  "vol_a3_per_cell": 73,
  "sg": "I4/mmm (139)"
}

***

# 4
{
  "formula": "NaAgP3",
  "functional": "PBE",
  "state": "relaxed",
  "lattice_angstrom": [[4.9129, 0.0000, 0.0000], [0.0000, 4.9129, 0.0000], [0.0000, 0.0000, 4.9129]],
  "species": ["Na", "Ag", "P", "P", "P"],
  "frac_coords": [[0.0000, 0.0000, 0.0000], [0.5000, 0.5000, 0.5000], [0.0000, 0.5000, 0.5000], [0.5000, 0.0000, 0.5000], [0.5000, 0.5000, 0.0000]],
  "e_form_ev_per_atom": 0.849,
  "total_magnetization_mub_per_cell": 0.00,
  "vol_a3_per_cell": 119,
  "sg": "Pm-3m (221)"
}